Below is an optimized crystal structure of Tb2Pr2Er2Mg, with properties calculated at the PBE level.

Unit cell a=3.6408 b=6.3267 c=11.6234 alpha=116.37 beta=90.00 gamma=106.72
Positions (direct):
Tb (0.7484, 0.4969, 0.6304)
Tb (0.2516, 0.5031, 0.3696)
Pr (0.5309, 0.0617, 0.7492)
Pr (0.4691, 0.9383, 0.2508)
Er (0.6794, 0.3588, 0.0856)
Er (0.3206, 0.6412, 0.9144)
Mg (0.0000, 0.0000, 0.5000)

Fermi-level density of states (states/eV/atom): 1.19
Calculated total energy (eV per atom): -4.127
Space-group type: C2/m
Calculated formation energy (eV per atom): 0.093
Crystal system: monoclinic